Entry 1:
First-principles (PBE) data for RbTl2 after structural relaxation, as listed in Alexandria via LeMat-Bulk.

abc: 6.853 6.853 6.853
angles: 60.00 60.00 60.00
Element x y z (fractional)
Rb 0.125 0.125 0.125
Rb 0.875 0.875 0.875
Tl 0.000 0.500 0.500
Tl 0.500 0.000 0.500
Tl 0.500 0.500 0.000
Tl 0.500 0.500 0.500

- relative energy among the computed polymorphs (meV per atom) = 22.4
- magnetic moment (μB per formula unit) = 0.0
- mass density (Mg/m³) = 7.21
- E_tot (eV/f.u.) = -5.9
- SG = No. 227
- E_form (kcal/mol of atoms) = -1.7


Entry 2:
First-principles (PBE) data for Ac3B2PdPt9 after structural relaxation, as listed in Alexandria via LeMat-Bulk.

abc: 6.836 6.836 7.325
angles: 90.00 90.00 120.00
Element x y z (fractional)
Ac 0.000 0.000 0.000
Ac 0.333 0.667 0.658
Ac 0.667 0.333 0.342
B 0.333 0.667 0.132
B 0.667 0.333 0.868
Pd 0.000 0.000 0.500
Pt 0.000 0.500 0.000
Pt 0.187 0.374 0.301
Pt 0.187 0.813 0.301
Pt 0.374 0.187 0.699
Pt 0.500 0.000 0.000
Pt 0.500 0.500 0.000
Pt 0.626 0.813 0.301
Pt 0.813 0.187 0.699
Pt 0.813 0.626 0.699

- magnetic moment (μB per formula unit) = 0.0
- mass density (Mg/m³) = 14.37
- E_tot (eV/f.u.) = -95.2
- SG = No. 164
- E_form (kcal/mol of atoms) = -15.3


Entry 3:
First-principles (PBE) data for CaHgRh after structural relaxation, as listed in Alexandria via LeMat-Bulk.

abc: 4.608 4.408 6.647
angles: 90.00 109.71 90.00
Element x y z (fractional)
Ca 0.143 0.000 0.287
Ca 0.857 0.000 0.713
Hg 0.360 0.500 0.717
Hg 0.640 0.500 0.283
Rh 0.000 0.500 0.000
Rh 0.500 0.000 0.000

- magnetic moment (μB per formula unit) = 0.0
- mass density (Mg/m³) = 8.98
- E_tot (eV/f.u.) = -10.7
- SG = No. 10
- E_form (kcal/mol of atoms) = -8.0


Entry 4:
First-principles (PBE) data for BaAgO3 after structural relaxation, as listed in Alexandria via LeMat-Bulk.

abc: 7.042 7.042 6.578
angles: 103.75 103.75 35.47
Element x y z (fractional)
Ba 0.128 0.128 0.351
Ba 0.872 0.872 0.649
Ag 0.341 0.341 0.096
Ag 0.659 0.659 0.904
O 0.178 0.178 0.963
O 0.332 0.332 0.430
O 0.498 0.498 0.891
O 0.502 0.502 0.109
O 0.668 0.668 0.570
O 0.822 0.822 0.037

- magnetic moment (μB per formula unit) = 0.0
- uncorrected formation energy (eV/atom) = -0.932
- mass density (Mg/m³) = 5.31
- E_tot (eV/f.u.) = -24.3
- SG = No. 12


Entry 5:
First-principles (PBE) data for Ba2PaTe2O2 after structural relaxation, as listed in Alexandria via LeMat-Bulk.

abc: 4.653 4.653 18.155
angles: 90.00 90.00 90.00
Element x y z (fractional)
Ba 0.000 0.000 0.123
Ba 0.000 0.000 0.877
Ba 0.500 0.500 0.377
Ba 0.500 0.500 0.623
Pa 0.000 0.000 0.500
Pa 0.500 0.500 0.000
Te 0.000 0.000 0.326
Te 0.000 0.000 0.674
Te 0.500 0.500 0.174
Te 0.500 0.500 0.826
O 0.000 0.500 0.000
O 0.000 0.500 0.500
O 0.500 0.000 0.000
O 0.500 0.000 0.500

- magnetic moment (μB per formula unit) = 1.0
- uncorrected formation energy (eV/atom) = -2.271
- mass density (Mg/m³) = 6.70
- E_tot (eV/f.u.) = -45.4
- SG = No. 139


Entry 6:
First-principles (PBE) data for HfCu2P2 after structural relaxation, as listed in Alexandria via LeMat-Bulk.

abc: 6.833 6.833 3.178
angles: 90.00 90.00 90.00
Element x y z (fractional)
Hf 0.000 0.000 0.000
Hf 0.500 0.500 0.000
Cu 0.136 0.364 0.500
Cu 0.364 0.864 0.500
Cu 0.636 0.136 0.500
Cu 0.864 0.636 0.500
P 0.156 0.656 0.000
P 0.344 0.156 0.000
P 0.656 0.844 0.000
P 0.844 0.344 0.000

- magnetic moment (μB per formula unit) = 0.0
- mass density (Mg/m³) = 8.23
- E_tot (eV/f.u.) = -30.0
- SG = No. 127
- E_form (kcal/mol of atoms) = -4.7


Entry 7:
First-principles (PBE) data for RbLaAs2Pd4 after structural relaxation, as listed in Alexandria via LeMat-Bulk.

abc: 4.226 4.226 11.086
angles: 90.00 90.00 90.00
Element x y z (fractional)
Rb 0.000 0.000 0.000
La 0.000 0.000 0.500
As 0.500 0.500 0.192
As 0.500 0.500 0.808
Pd 0.000 0.500 0.307
Pd 0.000 0.500 0.693
Pd 0.500 0.000 0.307
Pd 0.500 0.000 0.693

- magnetic moment (μB per formula unit) = 0.0
- mass density (Mg/m³) = 6.71
- E_tot (eV/f.u.) = -40.3
- SG = No. 123
- E_form (kcal/mol of atoms) = -12.6


Entry 8:
First-principles (PBE) data for DyMgZnRh after structural relaxation, as listed in Alexandria via LeMat-Bulk.

abc: 6.714 6.714 6.714
angles: 90.00 90.00 90.00
Element x y z (fractional)
Dy 0.000 0.000 0.000
Dy 0.000 0.500 0.500
Dy 0.500 0.000 0.500
Dy 0.500 0.500 0.000
Mg 0.000 0.000 0.500
Mg 0.000 0.500 0.000
Mg 0.500 0.000 0.000
Mg 0.500 0.500 0.500
Zn 0.250 0.250 0.250
Zn 0.250 0.750 0.750
Zn 0.750 0.250 0.750
Zn 0.750 0.750 0.250
Rh 0.250 0.250 0.750
Rh 0.250 0.750 0.250
Rh 0.750 0.250 0.250
Rh 0.750 0.750 0.750

- magnetic moment (μB per formula unit) = 0.0
- mass density (Mg/m³) = 7.79
- E_tot (eV/f.u.) = -16.7
- SG = No. 216
- E_form (kcal/mol of atoms) = -10.6


Entry 9:
First-principles (PBE) data for Hg12Sb5Te3 after structural relaxation, as listed in Alexandria via LeMat-Bulk.

abc: 15.102 15.102 15.102
angles: 109.47 109.47 109.47
Element x y z (fractional)
Hg 0.046 0.225 0.110
Hg 0.046 0.321 0.936
Hg 0.064 0.610 0.385
Hg 0.064 0.954 0.679
Hg 0.110 0.046 0.225
Hg 0.110 0.564 0.885
Hg 0.115 0.725 0.679
Hg 0.115 0.890 0.436
Hg 0.179 0.225 0.615
Hg 0.179 0.454 0.564
Hg 0.225 0.110 0.046
Hg 0.225 0.615 0.179
Hg 0.275 0.321 0.885
Hg 0.275 0.454 0.390
Hg 0.321 0.885 0.275
Hg 0.321 0.936 0.046
Hg 0.385 0.064 0.610
Hg 0.385 0.821 0.775
Hg 0.390 0.275 0.454
Hg 0.390 0.615 0.936
Hg 0.436 0.115 0.890
Hg 0.436 0.821 0.546
Hg 0.454 0.390 0.275
Hg 0.454 0.564 0.179
Hg 0.546 0.436 0.821
Hg 0.546 0.610 0.725
Hg 0.564 0.179 0.454
Hg 0.564 0.885 0.110
Hg 0.610 0.385 0.064
Hg 0.610 0.725 0.546
Hg 0.615 0.179 0.225
Hg 0.615 0.936 0.390
Hg 0.679 0.064 0.954
Hg 0.679 0.115 0.725
Hg 0.725 0.546 0.610
Hg 0.725 0.679 0.115
Hg 0.775 0.385 0.821
Hg 0.775 0.890 0.954
Hg 0.821 0.546 0.436
Hg 0.821 0.775 0.385
Hg 0.885 0.110 0.564
Hg 0.885 0.275 0.321
Hg 0.890 0.436 0.115
Hg 0.890 0.954 0.775
Hg 0.936 0.046 0.321
Hg 0.936 0.390 0.615
Hg 0.954 0.679 0.064
Hg 0.954 0.775 0.890
Sb 0.000 0.000 0.000
Sb 0.000 0.000 0.500
Sb 0.000 0.500 0.000
Sb 0.000 0.500 0.500
Sb 0.125 0.750 0.875
Sb 0.125 0.875 0.250
Sb 0.250 0.125 0.875
Sb 0.250 0.625 0.375
Sb 0.375 0.250 0.625
Sb 0.375 0.625 0.750
Sb 0.500 0.000 0.000
Sb 0.500 0.000 0.500
Sb 0.500 0.500 0.000
Sb 0.500 0.500 0.500
Sb 0.625 0.375 0.250
Sb 0.625 0.750 0.375
Sb 0.750 0.375 0.625
Sb 0.750 0.875 0.125
Sb 0.875 0.125 0.750
Sb 0.875 0.250 0.125
Te 0.125 0.250 0.375
Te 0.125 0.375 0.750
Te 0.250 0.375 0.125
Te 0.250 0.875 0.625
Te 0.375 0.125 0.250
Te 0.375 0.750 0.125
Te 0.625 0.250 0.875
Te 0.625 0.875 0.750
Te 0.750 0.125 0.375
Te 0.750 0.625 0.875
Te 0.875 0.625 0.250
Te 0.875 0.750 0.625

- magnetic moment (μB per formula unit) = 0.0
- uncorrected formation energy (eV/atom) = 0.104
- mass density (Mg/m³) = 8.51
- E_tot (eV/f.u.) = -31.6
- SG = No. 230


Entry 10:
First-principles (PBE) data for KAg2PbF8 after structural relaxation, as listed in Alexandria via LeMat-Bulk.

abc: 7.027 7.027 7.027
angles: 133.22 133.22 68.30
Element x y z (fractional)
K 0.000 0.000 0.000
Ag 0.500 0.500 0.000
Ag 0.750 0.250 0.500
Pb 0.250 0.750 0.500
F 0.133 0.102 0.515
F 0.133 0.618 0.031
F 0.382 0.413 0.515
F 0.382 0.867 0.969
F 0.587 0.102 0.969
F 0.587 0.618 0.485
F 0.898 0.413 0.031
F 0.898 0.867 0.485

- magnetic moment (μB per formula unit) = 1.1
- uncorrected formation energy (eV/atom) = -1.694
- mass density (Mg/m³) = 5.63
- E_tot (eV/f.u.) = -45.8
- SG = No. 119


Entry 11:
First-principles (PBE) data for SrReNi2 after structural relaxation, as listed in Alexandria via LeMat-Bulk.

abc: 4.885 4.885 15.578
angles: 90.00 90.00 90.00
Element x y z (fractional)
Sr 0.000 0.000 0.000
Sr 0.000 0.500 0.250
Sr 0.500 0.000 0.750
Sr 0.500 0.500 0.500
Re 0.000 0.000 0.500
Re 0.000 0.500 0.750
Re 0.500 0.000 0.250
Re 0.500 0.500 0.000
Ni 0.001 0.250 0.625
Ni 0.250 0.501 0.875
Ni 0.250 0.999 0.375
Ni 0.499 0.250 0.125
Ni 0.501 0.750 0.125
Ni 0.750 0.001 0.375
Ni 0.750 0.499 0.875
Ni 0.999 0.750 0.625

- relative energy among the computed polymorphs (meV per atom) = 542.7
- magnetic moment (μB per formula unit) = 0.5
- mass density (Mg/m³) = 6.99
- E_tot (eV/f.u.) = -23.0
- SG = No. 122
- E_form (kcal/mol of atoms) = 15.8


Entry 12:
First-principles (PBE) data for Pr2NiGe3Rh4 after structural relaxation, as listed in Alexandria via LeMat-Bulk.

abc: 4.226 4.226 10.245
angles: 90.00 90.00 90.00
Element x y z (fractional)
Pr 0.000 0.500 0.244
Pr 0.500 0.000 0.756
Ni 0.500 0.500 0.000
Ge 0.000 0.000 0.000
Ge 0.000 0.500 0.630
Ge 0.500 0.000 0.370
Rh 0.000 0.000 0.500
Rh 0.000 0.500 0.871
Rh 0.500 0.000 0.129
Rh 0.500 0.500 0.500

- magnetic moment (μB per formula unit) = 0.0
- mass density (Mg/m³) = 8.80
- E_tot (eV/f.u.) = -66.3
- SG = No. 115
- E_form (kcal/mol of atoms) = -17.7


Entry 13:
First-principles (PBE) data for La2PaTl after structural relaxation, as listed in Alexandria via LeMat-Bulk.

abc: 3.322 3.322 36.878
angles: 90.00 90.00 120.00
Element x y z (fractional)
La 0.000 0.000 0.087
La 0.000 0.000 0.913
La 0.333 0.667 0.580
La 0.333 0.667 0.754
La 0.667 0.333 0.246
La 0.667 0.333 0.420
Pa 0.000 0.000 0.000
Pa 0.333 0.667 0.667
Pa 0.667 0.333 0.333
Tl 0.000 0.000 0.500
Tl 0.333 0.667 0.167
Tl 0.667 0.333 0.833

- relative energy among the computed polymorphs (meV per atom) = 226.8
- magnetic moment (μB per formula unit) = 0.0
- mass density (Mg/m³) = 10.08
- E_tot (eV/f.u.) = -21.0
- SG = No. 166
- E_form (kcal/mol of atoms) = 4.3


Entry 14:
First-principles (PBE) data for Mg2In2Hg5 after structural relaxation, as listed in Alexandria via LeMat-Bulk.

abc: 8.744 8.744 7.621
angles: 90.00 90.00 51.11
Element x y z (fractional)
Mg 0.146 0.854 0.851
Mg 0.354 0.646 0.351
Mg 0.646 0.354 0.649
Mg 0.854 0.146 0.149
In 0.205 0.205 0.500
In 0.295 0.295 0.000
In 0.705 0.705 0.000
In 0.795 0.795 0.500
Hg 0.000 0.000 0.500
Hg 0.023 0.715 0.152
Hg 0.215 0.523 0.652
Hg 0.285 0.977 0.152
Hg 0.477 0.785 0.652
Hg 0.500 0.500 0.000
Hg 0.523 0.215 0.348
Hg 0.715 0.023 0.848
Hg 0.785 0.477 0.348
Hg 0.977 0.285 0.848

- magnetic moment (μB per formula unit) = 0.0
- mass density (Mg/m³) = 9.38
- E_tot (eV/f.u.) = -10.6
- SG = No. 64
- E_form (kcal/mol of atoms) = -1.1


Entry 15:
First-principles (PBE) data for YSiHRh2 after structural relaxation, as listed in Alexandria via LeMat-Bulk.

abc: 5.690 5.690 7.186
angles: 90.00 90.00 142.08
Element x y z (fractional)
Y 0.052 0.948 0.750
Y 0.948 0.052 0.250
Si 0.227 0.773 0.250
Si 0.773 0.227 0.750
H 0.500 0.500 0.000
H 0.500 0.500 0.500
Rh 0.343 0.657 0.554
Rh 0.343 0.657 0.946
Rh 0.657 0.343 0.054
Rh 0.657 0.343 0.446

- magnetic moment (μB per formula unit) = 0.0
- mass density (Mg/m³) = 7.52
- E_tot (eV/f.u.) = -34.3
- SG = No. 63


Entry 16:
First-principles (PBE) data for InPb4Au3 after structural relaxation, as listed in Alexandria via LeMat-Bulk.

abc: 7.426 7.426 10.593
angles: 111.60 111.60 55.53
Element x y z (fractional)
In 0.222 0.778 0.500
In 0.778 0.222 0.000
Pb 0.183 0.564 0.888
Pb 0.249 0.958 0.865
Pb 0.436 0.703 0.263
Pb 0.564 0.183 0.388
Pb 0.604 0.968 0.665
Pb 0.703 0.436 0.763
Pb 0.958 0.249 0.365
Pb 0.968 0.604 0.165
Au 0.111 0.216 0.661
Au 0.216 0.111 0.161
Au 0.271 0.443 0.598
Au 0.443 0.271 0.098
Au 0.722 0.847 0.938
Au 0.847 0.722 0.438

- magnetic moment (μB per formula unit) = 0.0
- mass density (Mg/m³) = 11.64
- E_tot (eV/f.u.) = -27.8
- SG = No. 9
- E_form (kcal/mol of atoms) = -1.2


Entry 17:
First-principles (PBE) data for ZrTlMo after structural relaxation, as listed in Alexandria via LeMat-Bulk.

abc: 3.540 5.059 13.997
angles: 90.00 90.00 90.00
Element x y z (fractional)
Zr 0.000 0.000 0.000
Zr 0.000 0.500 0.500
Zr 0.500 0.000 0.500
Zr 0.500 0.500 0.000
Tl 0.000 0.000 0.314
Tl 0.000 0.500 0.814
Tl 0.500 0.000 0.814
Tl 0.500 0.500 0.314
Mo 0.000 0.000 0.648
Mo 0.000 0.500 0.148
Mo 0.500 0.000 0.148
Mo 0.500 0.500 0.648

- relative energy among the computed polymorphs (meV per atom) = 81.2
- magnetic moment (μB per formula unit) = 0.0
- mass density (Mg/m³) = 10.38
- E_tot (eV/f.u.) = -20.9
- SG = No. 42
- E_form (kcal/mol of atoms) = 6.7


Entry 18:
First-principles (PBE) data for Ac2SmIn4Ag3 after structural relaxation, as listed in Alexandria via LeMat-Bulk.

abc: 4.654 4.654 12.933
angles: 90.00 90.00 90.00
Element x y z (fractional)
Ac 0.000 0.500 0.230
Ac 0.500 0.000 0.770
Sm 0.000 0.000 0.500
In 0.000 0.000 0.000
In 0.000 0.500 0.658
In 0.500 0.000 0.342
In 0.500 0.500 0.000
Ag 0.000 0.500 0.870
Ag 0.500 0.000 0.130
Ag 0.500 0.500 0.500

- magnetic moment (μB per formula unit) = 0.0
- mass density (Mg/m³) = 8.22
- E_tot (eV/f.u.) = -35.6
- SG = No. 115
- E_form (kcal/mol of atoms) = -7.4


Entry 19:
First-principles (PBE) data for ScNiP2Cl after structural relaxation, as listed in Alexandria via LeMat-Bulk.

abc: 5.003 5.003 4.795
angles: 90.00 90.00 90.00
Element x y z (fractional)
Sc 0.000 0.000 0.000
Ni 0.500 0.500 0.500
P 0.000 0.500 0.000
P 0.500 0.000 0.000
Cl 0.000 0.000 0.500

- relative energy among the computed polymorphs (meV per atom) = 581.7
- magnetic moment (μB per formula unit) = 0.9
- uncorrected formation energy (eV/atom) = 0.452
- mass density (Mg/m³) = 2.78
- E_tot (eV/f.u.) = -22.5
- SG = No. 123


Entry 20:
First-principles (PBE) data for Mn2CrNi after structural relaxation, as listed in Alexandria via LeMat-Bulk.

abc: 5.805 5.805 5.805
angles: 90.00 90.00 90.00
Element x y z (fractional)
Mn 0.000 0.000 0.000
Mn 0.000 0.500 0.500
Mn 0.250 0.250 0.250
Mn 0.250 0.750 0.750
Mn 0.500 0.000 0.500
Mn 0.500 0.500 0.000
Mn 0.750 0.250 0.750
Mn 0.750 0.750 0.250
Cr 0.000 0.000 0.500
Cr 0.000 0.500 0.000
Cr 0.500 0.000 0.000
Cr 0.500 0.500 0.500
Ni 0.250 0.250 0.750
Ni 0.250 0.750 0.250
Ni 0.750 0.250 0.250
Ni 0.750 0.750 0.750

- magnetic moment (μB per formula unit) = 3.9
- mass density (Mg/m³) = 7.49
- E_tot (eV/f.u.) = -33.3
- SG = No. 216
- E_form (kcal/mol of atoms) = 2.3


no.,DOS at the Fermi energy (states/eV/f.u.)
1,2.42
2,8.49
3,1.36
4,5.43
5,2.45
6,1.49
7,3.24
8,2.32
9,10.35
10,11.28
11,3.62
12,7.76
13,5.67
14,3.78
15,2.72
16,3.13
17,2.85
18,6.00
19,9.82
20,3.12